Record 1
Computed, not measured: crystalline EuAg4Sb2 at its relaxed geometry at the GGA-PBEsol level of DFT.

Values from the calculation:
As for the theoretical density: 9.16 g/cm3. The calculated total energy is -5.042 eV per atom.

Lattice parameters (Å, degrees): 8.456 8.456 8.456 31.89 31.89 31.89
Sites, in units of the cell vectors:
Eu (0.000, 0.000, 0.000)
Ag (0.144, 0.144, 0.144)
Ag (0.435, 0.435, 0.435)
Ag (0.565, 0.565, 0.565)
Ag (0.856, 0.856, 0.856)
Sb (0.260, 0.260, 0.260)
Sb (0.740, 0.740, 0.740)



Record 2
Computed, not measured: crystalline K2ZnW at its relaxed geometry at the GGA-PBEsol level of DFT.

Values from the calculation:
Its formation energy from the elements is 1.509 eV/atom. As for the theoretical density: 6.16 g/cm3.

Lattice parameters (Å, degrees): 3.923 3.923 5.736 90.00 90.00 90.00
Sites, in units of the cell vectors:
K (0.000, 0.500, 0.000)
K (0.500, 0.000, 0.000)
Zn (0.000, 0.000, 0.500)
W (0.500, 0.500, 0.500)



Record 3
Computed, not measured: crystalline Cr2RuCl at its relaxed geometry at the GGA-PBEsol level of DFT.

Values from the calculation:
The energy relative to the lowest polymorph listed for this composition is 0.4075 eV/atom. As for the theoretical density: 7.76 g/cm3.

Lattice parameters (Å, degrees): 4.176 4.176 4.176 60.00 60.00 60.00
Sites, in units of the cell vectors:
Cr (0.000, 0.000, 0.000)
Cr (0.250, 0.250, 0.250)
Ru (0.750, 0.750, 0.750)
Cl (0.500, 0.500, 0.500)



Record 4
Computed, not measured: crystalline CdOs3O at its relaxed geometry at the GGA-PBEsol level of DFT.

Values from the calculation:
As for the theoretical density: 16.79 g/cm3. The calculated total energy is -7.643 eV per atom.

Lattice parameters (Å, degrees): 4.105 4.105 4.105 90.00 90.00 90.00
Sites, in units of the cell vectors:
Cd (0.000, 0.000, 0.000)
Os (0.000, 0.500, 0.500)
Os (0.500, 0.000, 0.500)
Os (0.500, 0.500, 0.000)
O (0.500, 0.500, 0.500)



Record 5
Computed, not measured: crystalline CdNiIN2 at its relaxed geometry at the GGA-PBEsol level of DFT.

Values from the calculation:
As for the theoretical density: 6.38 g/cm3. The calculated total energy is -4.005 eV per atom.

Lattice parameters (Å, degrees): 3.893 3.893 5.599 90.00 90.00 90.00
Sites, in units of the cell vectors:
Cd (0.000, 0.000, 0.000)
Ni (0.500, 0.500, 0.500)
I (0.500, 0.500, 0.000)
N (0.000, 0.500, 0.500)
N (0.500, 0.000, 0.500)



Record 6
Computed, not measured: crystalline CaFeMo2 at its relaxed geometry at the GGA-PBEsol level of DFT.

Values from the calculation:
Its formation energy from the elements is 0.726 eV/atom. The energy relative to the lowest polymorph listed for this composition is 0.0578 eV/atom. As for the theoretical density: 7.46 g/cm3.

Lattice parameters (Å, degrees): 2.638 4.683 5.277 90.00 100.77 90.00
Sites, in units of the cell vectors:
Ca (0.000, 0.000, 0.000)
Fe (0.500, 0.000, 0.500)
Mo (0.263, 0.500, 0.733)
Mo (0.737, 0.500, 0.267)